A relaxed structure of La2PmNd4Dy. Source: Alexandria, functional GGA-PBE.

Unit cell a=5.189 b=5.198 c=10.441 alpha=90.00 beta=90.12 gamma=90.00
Fractional coordinates of all 8 atoms:
La  0.000  0.000  0.000
La  0.500  0.500  0.500
Pm  0.000  0.000  0.500
Nd  0.000  0.500  0.248
Nd  0.000  0.500  0.752
Nd  0.500  0.000  0.249
Nd  0.500  0.000  0.751
Dy  0.500  0.500  0.000

Calculated values
Total magnetization (μB per cell): 0.0
Symmetry: No. 10
Calculated density (g cm⁻³): 6.85
Final energy (eV/atom): -4.766